# 1
# AgTe2F | Alexandria via LeMat-Bulk | SCAN | single point on PBEsol structure
data_AgTe2F
_chemical_formula_sum 'Ag3 Te6 F3'
_symmetry_space_group_name_H-M 'R -3 m'
_symmetry_Int_Tables_number 166
_symmetry_space_group_name_Hall '-R 3 2"'
_cell_length_a 3.1521
_cell_length_b 3.1521
_cell_length_c 28.6288
_cell_angle_alpha 90.00
_cell_angle_beta 90.00
_cell_angle_gamma 120.00
loop_
_atom_site_label
_atom_site_type_symbol
_atom_site_fract_x
_atom_site_fract_y
_atom_site_fract_z
Ag1 Ag 0.0000 0.0000 0.0000
Te1 Te 0.0000 0.0000 0.0941
F1 F 0.0000 0.0000 0.5000
# Raw total energy in eV per cell: -331.364
# Raw formation energy in meV per atom: -261.3
# Size of the total moment in μB/cell: 0.0
# V in A^3/atom: 20.528


# 2
# AlCdOs | Alexandria via LeMat-Bulk | SCAN | single point on PBEsol structure
data_AlCdOs
_chemical_formula_sum 'Al4 Cd4 Os4'
_symmetry_space_group_name_H-M 'F -4 3 m'
_symmetry_Int_Tables_number 216
_symmetry_space_group_name_Hall 'F -4 2 3'
_cell_length_a 6.066
_cell_length_b 6.066
_cell_length_c 6.066
_cell_angle_alpha 90.00
_cell_angle_beta 90.00
_cell_angle_gamma 90.00
loop_
_atom_site_label
_atom_site_type_symbol
_atom_site_fract_x
_atom_site_fract_y
_atom_site_fract_z
Al1 Al 0.000 0.000 0.000
Cd1 Cd 0.250 0.250 0.750
Os1 Os 0.000 0.000 0.500
# Excess energy over the best structure of this formula in the dataset in meV/atom: 870.3
# Raw total energy in eV per cell: -428.413
# Size of the total moment in μB/cell: 0.0
# E_form in kJ/mol of formula units: 284
# V in A^3/atom: 18.602


# 3
# TlHI2 | Alexandria via LeMat-Bulk | SCAN | single point on PBEsol structure
data_TlHI2
_chemical_formula_sum 'Tl4 H4 I8'
_symmetry_space_group_name_H-M 'F m -3 m'
_symmetry_Int_Tables_number 225
_symmetry_space_group_name_Hall '-F 4 2 3'
_cell_length_a 7.651
_cell_length_b 7.651
_cell_length_c 7.651
_cell_angle_alpha 90.00
_cell_angle_beta 90.00
_cell_angle_gamma 90.00
loop_
_atom_site_label
_atom_site_type_symbol
_atom_site_fract_x
_atom_site_fract_y
_atom_site_fract_z
Tl1 Tl 0.000 0.000 0.000
H1 H 0.000 0.000 0.500
I1 I 0.250 0.250 0.250
# Excess energy over the best structure of this formula in the dataset in meV/atom: 338.1
# Raw total energy in eV per cell: -590.591
# Size of the total moment in μB/cell: 0.2
# V in A^3/atom: 27.989


# 4
# Pd | Alexandria via LeMat-Bulk | SCAN | single point on PBEsol structure
data_Pd
_chemical_formula_sum 'Pd9'
_symmetry_space_group_name_H-M 'R -3 m'
_symmetry_Int_Tables_number 166
_symmetry_space_group_name_Hall '-R 3 2"'
_cell_length_a 2.7288
_cell_length_b 2.7288
_cell_length_c 20.2909
_cell_angle_alpha 90.00
_cell_angle_beta 90.00
_cell_angle_gamma 120.00
loop_
_atom_site_label
_atom_site_type_symbol
_atom_site_fract_x
_atom_site_fract_y
_atom_site_fract_z
Pd1 Pd 0.0000 0.0000 0.0000
Pd2 Pd 0.0000 0.0000 0.2225
# Excess energy over the best structure of this formula in the dataset in meV/atom: 18.5
# Raw total energy in eV per cell: -294.803
# Size of the total moment in μB/cell: 3.9
# E_form in kJ/mol of formula units: 2
# V in A^3/atom: 14.538


# 5
# Al2Hg2Te | Alexandria via LeMat-Bulk | SCAN | single point on PBEsol structure
data_Al2Hg2Te
_chemical_formula_sum 'Al4 Hg4 Te2'
_symmetry_space_group_name_H-M 'P 4/m b m'
_symmetry_Int_Tables_number 127
_symmetry_space_group_name_Hall '-P 4 2ab'
_cell_length_a 8.465
_cell_length_b 8.465
_cell_length_c 3.079
_cell_angle_alpha 90.00
_cell_angle_beta 90.00
_cell_angle_gamma 90.00
loop_
_atom_site_label
_atom_site_type_symbol
_atom_site_fract_x
_atom_site_fract_y
_atom_site_fract_z
Al1 Al 0.124 0.376 0.000
Hg1 Hg 0.172 0.672 0.500
Te1 Te 0.000 0.000 0.500
# Raw total energy in eV per cell: -376.547
# Raw formation energy in meV per atom: 162.7
# Size of the total moment in μB/cell: 0.0
# V in A^3/atom: 22.060


# 6
# CsReS2 | Alexandria via LeMat-Bulk | SCAN | single point on PBEsol structure
data_CsReS2
_chemical_formula_sum 'Cs3 Re3 S6'
_symmetry_space_group_name_H-M 'R -3 m'
_symmetry_Int_Tables_number 166
_symmetry_space_group_name_Hall '-R 3 2"'
_cell_length_a 3.6112
_cell_length_b 3.6112
_cell_length_c 26.6275
_cell_angle_alpha 90.00
_cell_angle_beta 90.00
_cell_angle_gamma 120.00
loop_
_atom_site_label
_atom_site_type_symbol
_atom_site_fract_x
_atom_site_fract_y
_atom_site_fract_z
Cs1 Cs 0.0000 0.0000 0.0000
Re1 Re 0.0000 0.0000 0.5000
S1 S 0.0000 0.0000 0.1200
# Raw total energy in eV per cell: -386.466
# Raw formation energy in meV per atom: -164.5
# Size of the total moment in μB/cell: 5.4
# V in A^3/atom: 25.060


# 7
# FeSb2TeN | Alexandria via LeMat-Bulk | SCAN | single point on PBEsol structure
data_FeSb2TeN
_chemical_formula_sum 'Fe1 Sb2 Te1 N1'
_symmetry_space_group_name_H-M 'P 4/m m m'
_symmetry_Int_Tables_number 123
_symmetry_space_group_name_Hall '-P 4 2'
_cell_length_a 4.850
_cell_length_b 4.850
_cell_length_c 4.877
_cell_angle_alpha 90.00
_cell_angle_beta 90.00
_cell_angle_gamma 90.00
loop_
_atom_site_label
_atom_site_type_symbol
_atom_site_fract_x
_atom_site_fract_y
_atom_site_fract_z
Fe1 Fe 0.000 0.000 0.000
Sb1 Sb 0.000 0.500 0.000
Te1 Te 0.000 0.000 0.500
N1 N 0.500 0.500 0.500
# Excess energy over the best structure of this formula in the dataset in meV/atom: 353.7
# Raw total energy in eV per cell: -132.735
# Raw formation energy in meV per atom: 1291.7
# Size of the total moment in μB/cell: 0.6
# V in A^3/atom: 22.944


# 8
# HoSi2Pd2 | Alexandria via LeMat-Bulk | SCAN | single point on PBEsol structure
data_HoSi2Pd2
_chemical_formula_sum 'Ho2 Si4 Pd4'
_symmetry_space_group_name_H-M 'I 4/m m m'
_symmetry_Int_Tables_number 139
_symmetry_space_group_name_Hall '-I 4 2'
_cell_length_a 4.079
_cell_length_b 4.079
_cell_length_c 9.898
_cell_angle_alpha 90.00
_cell_angle_beta 90.00
_cell_angle_gamma 90.00
loop_
_atom_site_label
_atom_site_type_symbol
_atom_site_fract_x
_atom_site_fract_y
_atom_site_fract_z
Ho1 Ho 0.000 0.000 0.000
Si1 Si 0.000 0.000 0.384
Pd1 Pd 0.000 0.500 0.250
# Raw total energy in eV per cell: -279.160
# Raw formation energy in meV per atom: -1002.4
# Size of the total moment in μB/cell: 0.0
# V in A^3/atom: 16.468


# 9
# HgIrN2F | Alexandria via LeMat-Bulk | SCAN | single point on PBEsol structure
data_HgIrN2F
_chemical_formula_sum 'Hg1 Ir1 N2 F1'
_symmetry_space_group_name_H-M 'P 4/m m m'
_symmetry_Int_Tables_number 123
_symmetry_space_group_name_Hall '-P 4 2'
_cell_length_a 4.138
_cell_length_b 4.138
_cell_length_c 4.094
_cell_angle_alpha 90.00
_cell_angle_beta 90.00
_cell_angle_gamma 90.00
loop_
_atom_site_label
_atom_site_type_symbol
_atom_site_fract_x
_atom_site_fract_y
_atom_site_fract_z
Hg1 Hg 0.000 0.000 0.000
Ir1 Ir 0.500 0.500 0.500
N1 N 0.000 0.500 0.000
F1 F 0.000 0.000 0.500
# Raw total energy in eV per cell: -149.923
# Raw formation energy in meV per atom: 2292.9
# Size of the total moment in μB/cell: 1.4
# V in A^3/atom: 14.020


# 10
# LaNi4Rh | Alexandria via LeMat-Bulk | SCAN | single point on PBEsol structure
data_LaNi4Rh
_chemical_formula_sum 'La2 Ni8 Rh2'
_symmetry_space_group_name_H-M 'C m m m'
_symmetry_Int_Tables_number 65
_symmetry_space_group_name_Hall '-C 2 2'
_cell_length_a 4.871
_cell_length_b 8.888
_cell_length_c 3.945
_cell_angle_alpha 90.00
_cell_angle_beta 90.00
_cell_angle_gamma 90.00
loop_
_atom_site_label
_atom_site_type_symbol
_atom_site_fract_x
_atom_site_fract_y
_atom_site_fract_z
La1 La 0.000 0.000 0.000
Ni1 Ni 0.000 0.322 0.000
Ni2 Ni 0.250 0.250 0.500
Rh1 Rh 0.000 0.500 0.500
# Raw total energy in eV per cell: -286.779
# Size of the total moment in μB/cell: 4.2
# E_form in kJ/mol of formula units: -176
# V in A^3/atom: 14.231


# 11
# MnFeAsBr2 | Alexandria via LeMat-Bulk | SCAN | single point on PBEsol structure
data_MnFeAsBr2
_chemical_formula_sum 'Mn1 Fe1 As1 Br2'
_symmetry_space_group_name_H-M 'P 4/m m m'
_symmetry_Int_Tables_number 123
_symmetry_space_group_name_Hall '-P 4 2'
_cell_length_a 4.867
_cell_length_b 4.867
_cell_length_c 4.823
_cell_angle_alpha 90.00
_cell_angle_beta 90.00
_cell_angle_gamma 90.00
loop_
_atom_site_label
_atom_site_type_symbol
_atom_site_fract_x
_atom_site_fract_y
_atom_site_fract_z
Mn1 Mn 0.000 0.000 0.000
Fe1 Fe 0.500 0.500 0.500
As1 As 0.000 0.000 0.500
Br1 Br 0.000 0.500 0.000
# Raw total energy in eV per cell: -93.721
# Raw formation energy in meV per atom: 354.6
# Size of the total moment in μB/cell: 7.2
# V in A^3/atom: 22.853


# 12
# Sr4LaCrFe4O15 | Alexandria via LeMat-Bulk | SCAN | single point on PBEsol structure
data_Sr4LaCrFe4O15
_chemical_formula_sum 'Sr8 La2 Cr2 Fe8 O30'
_symmetry_space_group_name_H-M 'C 1 m 1'
_symmetry_Int_Tables_number 8
_cell_length_a 16.114
_cell_length_b 5.365
_cell_length_c 6.581
_cell_angle_alpha 90.00
_cell_angle_beta 105.78
_cell_angle_gamma 90.00
loop_
_symmetry_equiv_pos_as_xyz
'x,y,z'
'x,-y,z'
'x+1/2,y+1/2,z'
'x+1/2,-y+1/2,z'
loop_
_atom_site_label
_atom_site_type_symbol
_atom_site_fract_x
_atom_site_fract_y
_atom_site_fract_z
Sr1 Sr 0.000 0.000 0.000
Sr2 Sr 0.099 0.500 0.398
Sr3 Sr 0.299 0.500 0.194
Sr4 Sr 0.401 0.000 0.597
La1 La 0.199 0.000 0.798
Cr1 Cr 0.303 0.500 0.695
Fe1 Fe 0.000 0.000 0.494
Fe2 Fe 0.098 0.500 0.898
Fe3 Fe 0.198 0.000 0.294
Fe4 Fe 0.401 0.000 0.103
O1 O 0.051 0.246 0.698
O2 O 0.100 0.000 0.401
O3 O 0.150 0.248 0.094
O4 O 0.199 0.500 0.798
O5 O 0.248 0.249 0.507
O6 O 0.298 0.000 0.197
O7 O 0.344 0.249 0.895
O8 O 0.398 0.500 0.602
O9 O 0.449 0.251 0.298
O10 O 0.498 0.000 0.994
# Raw total energy in eV per cell: -757.729
# Raw formation energy in meV per atom: -2491.5
# Size of the total moment in μB/cell: 35.2
# V in A^3/atom: 10.950